No. 1
{
  "formula": "LiAcAsS4",
  "functional": "PBE",
  "state": "relaxed",
  "dos_ef_per_ev_fu": 2.2,
  "dft_energy_ev_per_fu": -33.4,
  "magmom_total_mub_per_atom": 0.000,
  "raw_formation_energy_ev_per_fu": -6.2,
  "cell": [[7.831, 0.000, 0.000], [3.915, 6.899, -0.647], [3.915, 1.486, 6.768]],
  "species": ["As", "As", "Ac", "Ac", "S", "S", "S", "S", "S", "S", "S", "S", "Li", "Li"],
  "fractional_positions": [[0.394, 0.356, 0.856], [0.606, 0.644, 0.144], [0.000, 0.500, 0.500], [0.000, 0.000, 0.000], [0.714, 0.326, 0.245], [0.214, 0.774, 0.274], [0.262, 0.226, 0.726], [0.738, 0.774, 0.274], [0.286, 0.255, 0.174], [0.286, 0.674, 0.755], [0.714, 0.745, 0.826], [0.786, 0.226, 0.726], [0.000, 0.000, 0.500], [0.500, 0.000, 0.500]]
}



No. 2
{
  "formula": "Li2AcAsS4",
  "functional": "PBE",
  "state": "relaxed",
  "dft_energy_ev_per_fu": -38.2,
  "magmom_total_mub_per_atom": 0.000,
  "raw_formation_energy_ev_per_fu": -9.1,
  "cell": [[-3.052, -5.205, 3.049], [2.834, -5.322, 1.246], [0.500, -1.152, 6.028]],
  "species": ["Li", "Li", "As", "S", "S", "S", "S", "Ac"],
  "fractional_positions": [[0.250, 0.250, 0.250], [0.750, 0.750, 0.750], [0.500, 0.500, 0.500], [0.533, 0.467, 0.893], [0.467, 0.107, 0.533], [0.107, 0.893, 0.467], [0.893, 0.533, 0.107], [0.000, 0.000, 0.000]]
}



No. 3
{
  "formula": "Li4Ac2SbAs3",
  "functional": "PBE",
  "state": "relaxed",
  "dos_ef_per_ev_fu": 1.2,
  "dft_energy_ev_per_fu": -43.0,
  "magmom_total_mub_per_atom": 0.000,
  "raw_formation_energy_ev_per_fu": -9.1,
  "cell": [[4.581, 0.000, 0.000], [0.000, 4.581, 0.000], [0.000, 0.000, 10.375]],
  "species": ["Li", "Li", "Li", "Li", "As", "As", "As", "Sb", "Ac", "Ac"],
  "fractional_positions": [[0.500, 0.000, 0.626], [0.500, 0.500, 0.000], [0.000, 0.000, 0.000], [0.000, 0.500, 0.374], [0.000, 0.500, 0.135], [0.000, 0.000, 0.500], [0.500, 0.000, 0.865], [0.500, 0.500, 0.500], [0.500, 0.000, 0.253], [0.000, 0.500, 0.747]]
}